# 1
This record from Alexandria describes a relaxed structure of MgNpHg. The functional is PBE.

Values from the calculation:
- Fermi-level density of states: 4.09 states/eV/f.u.

a = 9.916 Å, b = 3.573 Å, c = 7.873 Å
α = 90.00°, β = 106.42°, γ = 90.00°
Space group C2/m (No. 12)
Unique sites:
Mg: 0.022 0.000 0.291 [4 per cell]
Np: 0.175 0.500 0.027 [4 per cell]
Hg: 0.175 0.500 0.609 [4 per cell]



# 2
This record from Alexandria describes a relaxed structure of NdDy4ErTm2. The functional is PBE.

Values from the calculation:
- Fermi-level density of states: 10.00 states/eV/f.u.

a = 7.090 Å, b = 7.081 Å, c = 9.983 Å
α = 90.00°, β = 90.04°, γ = 90.00°
Space group P2/m (No. 10)
Unique sites:
Nd: 0.000 0.000 0.000 [1 per cell]
Nd: 0.000 0.500 0.500 [1 per cell]
Dy: 0.252 0.250 0.250 [4 per cell]
Dy: 0.252 0.250 0.750 [4 per cell]
Er: 0.000 0.000 0.500 [1 per cell]
Er: 0.500 0.000 0.500 [1 per cell]
Tm: 0.000 0.500 0.000 [1 per cell]
Tm: 0.500 0.000 0.000 [1 per cell]
Tm: 0.500 0.500 0.000 [1 per cell]
Tm: 0.500 0.500 0.500 [1 per cell]



no.,formation energy (meV/atom)
1,87
2,18